Record 1
CrSi2AsI | PBE-GGA | relaxed

total magnetization	0.00	μB per formula unit
density	4978	kg/m3
ΔE_f (raw)	353	meV/atom

Structure (CIF):
```
data_CrSi2AsI
_symmetry_space_group_name_H-M 'P 4/m m m'
_symmetry_Int_Tables_number 123
_symmetry_space_group_name_Hall '-P 4 2'
_cell_length_a 4.745
_cell_length_b 4.745
_cell_length_c 4.593
_cell_angle_alpha 90.00
_cell_angle_beta 90.00
_cell_angle_gamma 90.00
loop_
_atom_site_label
_atom_site_type_symbol
_atom_site_fract_x
_atom_site_fract_y
_atom_site_fract_z
Cr1 Cr 0.000 0.000 0.000
Si1 Si 0.000 0.500 0.000
As1 As 0.000 0.000 0.500
I1 I 0.500 0.500 0.500
```

---

Record 2
ZnCu2Tc | PBE-GGA | relaxed

total magnetization	0.00	μB per formula unit
density	9143	kg/m3
energy	-19.2	eV for the cell shown

Structure (CIF):
```
data_ZnCu2Tc
_symmetry_space_group_name_H-M 'P 1 m 1'
_symmetry_Int_Tables_number 6
_cell_length_a 2.539
_cell_length_b 4.132
_cell_length_c 5.178
_cell_angle_alpha 90.00
_cell_angle_beta 103.78
_cell_angle_gamma 90.00
loop_
_symmetry_equiv_pos_as_xyz
'x,y,z'
'x,-y,z'
loop_
_atom_site_label
_atom_site_type_symbol
_atom_site_fract_x
_atom_site_fract_y
_atom_site_fract_z
Zn1 Zn 0.000 0.000 0.000
Cu1 Cu 0.618 0.500 0.224
Cu2 Cu 0.741 0.000 0.490
Tc1 Tc 0.349 0.500 0.707
```

---

Record 3
Cu2HgSb | PBE-GGA | relaxed

total magnetization	0.00	μB per formula unit
density	9826	kg/m3
ΔE_f (raw)	183	meV/atom

Structure (CIF):
```
data_Cu2HgSb
_symmetry_space_group_name_H-M 'P 4 m m'
_symmetry_Int_Tables_number 99
_cell_length_a 3.278
_cell_length_b 3.278
_cell_length_c 7.066
_cell_angle_alpha 90.00
_cell_angle_beta 90.00
_cell_angle_gamma 90.00
loop_
_symmetry_equiv_pos_as_xyz
'x,y,z'
'-y,x,z'
'-x,-y,z'
'y,-x,z'
'-x,y,z'
'y,x,z'
'x,-y,z'
'-y,-x,z'
loop_
_atom_site_label
_atom_site_type_symbol
_atom_site_fract_x
_atom_site_fract_y
_atom_site_fract_z
Cu1 Cu 0.000 0.000 0.000
Cu2 Cu 0.500 0.500 0.159
Hg1 Hg 0.000 0.000 0.393
Sb1 Sb 0.500 0.500 0.768
```

---

Record 4
FeReSb2I | PBE-GGA | relaxed

excess energy over the best structure of this formula in the dataset	0	meV per atom
total magnetization	3.64	μB per formula unit
density	6696	kg/m3
ΔE_f (raw)	1192	meV/atom

Structure (CIF):
```
data_FeReSb2I
_symmetry_space_group_name_H-M 'P 4/m m m'
_symmetry_Int_Tables_number 123
_symmetry_space_group_name_Hall '-P 4 2'
_cell_length_a 5.072
_cell_length_b 5.072
_cell_length_c 5.904
_cell_angle_alpha 90.00
_cell_angle_beta 90.00
_cell_angle_gamma 90.00
loop_
_atom_site_label
_atom_site_type_symbol
_atom_site_fract_x
_atom_site_fract_y
_atom_site_fract_z
Fe1 Fe 0.000 0.000 0.000
Re1 Re 0.500 0.500 0.500
Sb1 Sb 0.000 0.500 0.500
I1 I 0.500 0.500 0.000
```

---

Q: Which of these has the highest total magnetization?
A: FeReSb2I

---

What did the second record say?
ZnCu2Tc | PBE-GGA | relaxed

total magnetization	0.00	μB per formula unit
density	9143	kg/m3
energy	-19.2	eV for the cell shown

Structure (CIF):
```
data_ZnCu2Tc
_symmetry_space_group_name_H-M 'P 1 m 1'
_symmetry_Int_Tables_number 6
_cell_length_a 2.539
_cell_length_b 4.132
_cell_length_c 5.178
_cell_angle_alpha 90.00
_cell_angle_beta 103.78
_cell_angle_gamma 90.00
loop_
_symmetry_equiv_pos_as_xyz
'x,y,z'
'x,-y,z'
loop_
_atom_site_label
_atom_site_type_symbol
_atom_site_fract_x
_atom_site_fract_y
_atom_site_fract_z
Zn1 Zn 0.000 0.000 0.000
Cu1 Cu 0.618 0.500 0.224
Cu2 Cu 0.741 0.000 0.490
Tc1 Tc 0.349 0.500 0.707
```